The following is a DFT calculation (PBE) of crystalline SrHgRh2 at its relaxed geometry.

Cell lengths 4.810, 3.277, 5.325 Å; angles 90.00, 108.90, 90.00 degrees
Fractional positions:
Sr 0.000 0.000 0.000
Hg 0.000 0.500 0.500
Rh 0.500 0.000 0.500
Rh 0.500 0.500 0.000

Properties
* energy: -4.0582 eV per atom
* energy relative to the elements: 0.113 eV per atom